This record from Alexandria describes a relaxed U3Ge4Ir2 crystal. The functional is PBE.

a b c (Å): 4.563 5.626 8.819
angles (deg): 122.97 90.00 113.92
Fractional positions:
Ir 0.385 0.771 0.724
Ir 0.615 0.229 0.276
Ge 0.703 0.406 0.046
Ge 0.903 0.807 0.593
Ge 0.097 0.193 0.407
Ge 0.297 0.594 0.954
U 0.355 0.710 0.332
U 0.645 0.290 0.668
U 0.000 0.000 0.000

**Total energy**: -73.9 eV per cell
**DFT formation energy**: -0.423 eV per atom

This record from Alexandria describes a relaxed NaSn2Bi2 crystal. The functional is PBE.

a b c (Å): 8.300 8.300 7.869
angles (deg): 124.37 124.37 84.16
Fractional positions:
Sn 0.810 0.554 0.612
Sn 0.190 0.446 0.388
Sn 0.446 0.190 0.888
Sn 0.554 0.810 0.112
Bi 0.155 0.845 0.750
Bi 0.845 0.155 0.250
Bi 0.410 0.590 0.250
Bi 0.590 0.410 0.750
Na 0.128 0.872 0.250
Na 0.872 0.128 0.750

**Total energy**: -34.1 eV per cell
**DFT formation energy**: 0.006 eV per atom